# 1
Below is a relaxed structure of Mg2ZnAu, with properties calculated at the PBE level.

Lattice parameters (Å, degrees): 4.9814 4.9814 4.9814 130.25 130.25 73.01
Closest atoms and distances in Å follow each position.
Element x y z (fractional)
Mg 0.0000 0.0000 0.0000  4 Mg 2.90, 4 Zn 2.90, 4 Au 2.96
Mg 0.7500 0.2500 0.5000  4 Au 2.90, 4 Mg 2.90, 4 Zn 2.96
Zn 0.2500 0.7500 0.5000  4 Au 2.90, 8 Mg 2.90-2.96
Au 0.5000 0.5000 0.0000  8 Mg 2.90-2.96, 4 Zn 2.90

Values from the calculation:
**Energy of formation**: -0.30 eV/atom
**Crystal system**: tetragonal
**DOS(E_F)**: 1.06 states/eV per cell
**Total moment**: 0.0 μB per cell
**Symmetry**: No. 119
**Density**: 7.34 g cm⁻³



# 2
Below is a relaxed structure of Mg2ZnAu, with properties calculated at the PBE level.

Lattice parameters (Å, degrees): 3.2555 3.4918 6.3342 90.00 90.52 90.00
Closest atoms and distances in Å follow each position.
Element x y z (fractional)
Mg 0.0015 0.0000 0.2476  4 Au 2.85-2.86, 4 Zn 2.86-2.88, 1 Mg 3.14
Mg 0.9985 0.0000 0.7524  4 Au 2.85-2.86, 4 Zn 2.86-2.88, 1 Mg 3.14
Zn 0.5000 0.5000 0.5000  8 Mg 2.86-2.88, 2 Au 3.17
Au 0.5000 0.5000 0.0000  8 Mg 2.85-2.86, 2 Zn 3.17

Values from the calculation:
**Energy of formation**: -0.36 eV/atom
**Crystal system**: monoclinic
**DOS(E_F)**: 1.17 states/eV per cell
**Total moment**: 0.0 μB per cell
**Symmetry**: No. 10
**Density**: 7.17 g cm⁻³



# 3
Below is a relaxed structure of Mg3Zn4Au2, with properties calculated at the PBE level.

Lattice parameters (Å, degrees): 6.8572 6.8572 6.4207 109.19 109.19 35.60
Closest atoms and distances in Å follow each position.
Element x y z (fractional)
Mg 0.0000 0.0000 0.0000  4 Au 2.79, 4 Zn 2.94
Mg 0.1412 0.1412 0.5084  3 Au 2.82-2.96, 6 Zn 3.02-3.05, 1 Mg 3.15
Mg 0.8588 0.8588 0.4916  3 Au 2.82-2.96, 6 Zn 3.02-3.05, 1 Mg 3.15
Zn 0.2584 0.2584 0.1413  3 Zn 2.56-2.73, 3 Au 2.64-2.80
Zn 0.4670 0.4670 0.2921  2 Zn 2.51-2.56, 1 Au 2.63
Zn 0.5330 0.5330 0.7079  2 Zn 2.51-2.56, 1 Au 2.63
Zn 0.7416 0.7416 0.8587  3 Zn 2.56-2.73, 3 Au 2.64-2.80
Au 0.3558 0.3558 0.8153  5 Zn 2.63-2.90, 3 Mg 2.79-2.82
Au 0.6442 0.6442 0.1847  5 Zn 2.63-2.90, 3 Mg 2.79-2.82

Values from the calculation:
**Energy of formation**: -0.27 eV/atom
**Crystal system**: monoclinic
**DOS(E_F)**: 2.82 states/eV per cell
**Total moment**: 0.0 μB per cell
**Symmetry**: No. 12
**Density**: 7.33 g cm⁻³



# 4
Below is a relaxed structure of MgZn6Au12, with properties calculated at the PBE level.

Lattice parameters (Å, degrees): 7.6506 7.6506 7.6506 111.05 111.05 111.05
Closest atoms and distances in Å follow each position.
Element x y z (fractional)
Mg 0.0000 0.0000 0.0000  12 Au 2.93-2.96
Zn 0.0485 0.3544 0.5756  8 Au 2.73-2.91, 3 Zn 2.85-3.04
Zn 0.3544 0.5756 0.0485  8 Au 2.73-2.91, 3 Zn 2.85-3.04
Zn 0.4244 0.9515 0.6456  8 Au 2.73-2.91, 3 Zn 2.85-3.04
Zn 0.5756 0.0485 0.3544  8 Au 2.73-2.91, 3 Zn 2.85-3.04
Zn 0.6456 0.4244 0.9515  8 Au 2.73-2.91, 3 Zn 2.85-3.04
Zn 0.9515 0.6456 0.4244  8 Au 2.73-2.91, 3 Zn 2.85-3.04
Au 0.1152 0.7361 0.1645  5 Zn 2.77-2.91, 6 Au 2.80-3.05, 1 Mg 2.96
Au 0.1645 0.1152 0.7361  5 Zn 2.77-2.91, 6 Au 2.80-3.05, 1 Mg 2.96
Au 0.2006 0.4737 0.3378  3 Zn 2.73-2.87, 7 Au 2.80-3.05, 1 Mg 2.93
Au 0.2639 0.8355 0.8848  5 Zn 2.77-2.91, 6 Au 2.80-3.05, 1 Mg 2.96
Au 0.3378 0.2006 0.4737  3 Zn 2.73-2.87, 7 Au 2.80-3.05, 1 Mg 2.93
Au 0.4737 0.3378 0.2006  3 Zn 2.73-2.87, 7 Au 2.80-3.05, 1 Mg 2.93
Au 0.5263 0.6622 0.7994  3 Zn 2.73-2.87, 7 Au 2.80-3.05, 1 Mg 2.93
Au 0.6622 0.7994 0.5263  3 Zn 2.73-2.87, 7 Au 2.80-3.05, 1 Mg 2.93
Au 0.7361 0.1645 0.1152  5 Zn 2.77-2.91, 6 Au 2.80-3.05, 1 Mg 2.96
Au 0.7994 0.5263 0.6622  3 Zn 2.73-2.87, 7 Au 2.80-3.05, 1 Mg 2.93
Au 0.8355 0.8848 0.2639  5 Zn 2.77-2.91, 6 Au 2.80-3.05, 1 Mg 2.96
Au 0.8848 0.2639 0.8355  5 Zn 2.77-2.91, 6 Au 2.80-3.05, 1 Mg 2.96

Values from the calculation:
**Energy of formation**: -0.21 eV/atom
**Crystal system**: trigonal
**DOS(E_F)**: 6.09 states/eV per cell
**Total moment**: 0.0 μB per cell
**Symmetry**: No. 148
**Density**: 14.29 g cm⁻³



# 5
Below is a relaxed structure of Mg5ZnAu2, with properties calculated at the PBE level.

Lattice parameters (Å, degrees): 5.8804 11.3700 4.4844 90.00 90.00 90.00
Closest atoms and distances in Å follow each position.
Element x y z (fractional)
Mg 0.0000 0.0000 0.0000  4 Au 2.88, 2 Zn 2.94, 6 Mg 3.06-3.21
Mg 0.1066 0.2636 0.0000  1 Zn 2.76, 4 Au 2.87-3.09, 3 Mg 2.96-3.06
Mg 0.1750 0.6116 0.5000  2 Zn 2.77, 4 Au 2.86-3.05
Mg 0.3250 0.1116 0.5000  2 Zn 2.77, 4 Au 2.86-3.05
Mg 0.3934 0.7636 0.0000  1 Zn 2.76, 4 Au 2.87-3.09, 3 Mg 2.96-3.06
Mg 0.5000 0.5000 0.0000  4 Au 2.88, 2 Zn 2.94, 6 Mg 3.06-3.21
Mg 0.6066 0.2364 0.0000  1 Zn 2.76, 4 Au 2.87-3.09, 3 Mg 2.96-3.06
Mg 0.6750 0.8884 0.5000  2 Zn 2.77, 4 Au 2.86-3.05
Mg 0.8250 0.3884 0.5000  2 Zn 2.77, 4 Au 2.86-3.05
Mg 0.8934 0.7364 0.0000  1 Zn 2.76, 4 Au 2.87-3.09, 3 Mg 2.96-3.06
Zn 0.0000 0.5000 0.0000  8 Mg 2.76-2.94
Zn 0.5000 0.0000 0.0000  8 Mg 2.76-2.94
Au 0.1583 0.8634 0.5000  10 Mg 2.86-3.09
Au 0.3417 0.3634 0.5000  10 Mg 2.86-3.09
Au 0.6583 0.6366 0.5000  10 Mg 2.86-3.09
Au 0.8417 0.1366 0.5000  10 Mg 2.86-3.09

Values from the calculation:
**Energy of formation**: -0.36 eV/atom
**Crystal system**: orthorhombic
**DOS(E_F)**: 6.65 states/eV per cell
**Total moment**: 0.0 μB per cell
**Symmetry**: No. 55
**Density**: 6.43 g cm⁻³



# 6
Below is a relaxed structure of Mg3Zn2Au3, with properties calculated at the PBE level.

Lattice parameters (Å, degrees): 9.4291 9.4291 9.4291 158.39 153.07 34.79
Closest atoms and distances in Å follow each position.
Element x y z (fractional)
Mg 0.0000 0.0000 0.0000  8 Au 2.82-3.01, 4 Mg 3.12
Mg 0.3767 0.8767 0.5000  6 Au 2.83-2.84, 4 Zn 2.90-3.15, 2 Mg 3.12
Mg 0.6233 0.1233 0.5000  6 Au 2.83-2.84, 4 Zn 2.90-3.15, 2 Mg 3.12
Zn 0.2490 0.2490 0.0000  4 Au 2.70-3.02, 4 Zn 2.82, 2 Mg 2.90
Zn 0.7510 0.7510 0.0000  4 Au 2.70-3.02, 4 Zn 2.82, 2 Mg 2.90
Au 0.1357 0.6357 0.5000  4 Zn 2.70-3.02, 6 Mg 2.83-3.01
Au 0.5000 0.5000 0.0000  8 Mg 2.82-2.84
Au 0.8643 0.3643 0.5000  4 Zn 2.70-3.02, 6 Mg 2.83-3.01

Values from the calculation:
**Energy of formation**: -0.42 eV/atom
**Crystal system**: orthorhombic
**DOS(E_F)**: 1.85 states/eV per cell
**Total moment**: 0.0 μB per cell
**Symmetry**: No. 71
**Density**: 9.45 g cm⁻³



# 7
Below is a relaxed structure of MgZn6Au6, with properties calculated at the PBE level.

Lattice parameters (Å, degrees): 5.2749 5.2749 9.0744 90.00 90.00 120.00
Closest atoms and distances in Å follow each position.
Element x y z (fractional)
Mg 0.0000 0.0000 0.0000  8 Au 3.04-3.05
Zn 0.0000 0.5000 0.2477  4 Zn 2.64, 6 Au 2.72-2.75
Zn 0.0000 0.5000 0.7523  4 Zn 2.64, 6 Au 2.72-2.75
Zn 0.5000 0.0000 0.2477  4 Zn 2.64, 6 Au 2.72-2.75
Zn 0.5000 0.0000 0.7523  4 Zn 2.64, 6 Au 2.72-2.75
Zn 0.5000 0.5000 0.2477  4 Zn 2.64, 6 Au 2.72-2.75
Zn 0.5000 0.5000 0.7523  4 Zn 2.64, 6 Au 2.72-2.75
Au 0.0000 0.0000 0.3353  6 Zn 2.75, 1 Au 2.99, 1 Mg 3.04
Au 0.0000 0.0000 0.6647  6 Zn 2.75, 1 Au 2.99, 1 Mg 3.04
Au 0.3333 0.6667 0.0000  6 Zn 2.72
Au 0.3333 0.6667 0.5000  6 Zn 2.75, 3 Au 3.05
Au 0.6667 0.3333 0.0000  6 Zn 2.72
Au 0.6667 0.3333 0.5000  6 Zn 2.75, 3 Au 3.05

Values from the calculation:
**Energy of formation**: -0.24 eV/atom
**Crystal system**: hexagonal
**DOS(E_F)**: 2.94 states/eV per cell
**Total moment**: 0.0 μB per cell
**Symmetry**: No. 191
**Density**: 12.14 g cm⁻³



# 8
Below is a relaxed structure of Mg2ZnAu5, with properties calculated at the PBE level.

Lattice parameters (Å, degrees): 5.6752 11.3781 4.3347 90.00 90.00 90.00
Closest atoms and distances in Å follow each position.
Element x y z (fractional)
Mg 0.1916 0.1392 0.0000  10 Au 2.85-2.92
Mg 0.3084 0.6392 0.0000  10 Au 2.85-2.92
Mg 0.6916 0.3608 0.0000  10 Au 2.85-2.92
Mg 0.8084 0.8608 0.0000  10 Au 2.85-2.92
Zn 0.0000 0.5000 0.5000  8 Au 2.70-2.84
Zn 0.5000 0.0000 0.5000  8 Au 2.70-2.84
Au 0.0000 0.0000 0.5000  2 Zn 2.84, 4 Mg 2.90, 6 Au 2.93-3.03
Au 0.0507 0.7436 0.5000  1 Zn 2.79, 5 Au 2.84-3.02, 4 Mg 2.87-2.89
Au 0.1921 0.3956 0.0000  2 Zn 2.70, 4 Mg 2.85-2.92, 2 Au 3.02
Au 0.3079 0.8956 0.0000  2 Zn 2.70, 4 Mg 2.85-2.92, 2 Au 3.02
Au 0.4493 0.2436 0.5000  1 Zn 2.79, 5 Au 2.84-3.02, 4 Mg 2.87-2.89
Au 0.5000 0.5000 0.5000  2 Zn 2.84, 4 Mg 2.90, 6 Au 2.93-3.03
Au 0.5507 0.7564 0.5000  1 Zn 2.79, 5 Au 2.84-3.02, 4 Mg 2.87-2.89
Au 0.6921 0.1044 0.0000  2 Zn 2.70, 4 Mg 2.85-2.92, 2 Au 3.02
Au 0.8079 0.6044 0.0000  2 Zn 2.70, 4 Mg 2.85-2.92, 2 Au 3.02
Au 0.9493 0.2564 0.5000  1 Zn 2.79, 5 Au 2.84-3.02, 4 Mg 2.87-2.89

Values from the calculation:
**Energy of formation**: -0.41 eV/atom
**Crystal system**: orthorhombic
**DOS(E_F)**: 3.94 states/eV per cell
**Total moment**: 0.0 μB per cell
**Symmetry**: No. 55
**Density**: 13.04 g cm⁻³



# 9
Below is a relaxed structure of Mg7ZnAu4, with properties calculated at the PBE level.

Lattice parameters (Å, degrees): 7.0668 7.0668 9.6499 124.63 124.63 40.64
Closest atoms and distances in Å follow each position.
Element x y z (fractional)
Mg 0.0000 0.0000 0.0000  2 Zn 2.45, 2 Au 2.74
Mg 0.1633 0.1633 0.6003  4 Au 2.67-2.86
Mg 0.2843 0.2843 0.1314  4 Au 2.81-2.92, 1 Mg 3.02
Mg 0.4314 0.4314 0.6665  5 Au 2.71-3.02, 1 Zn 2.76, 1 Mg 3.02
Mg 0.5686 0.5686 0.3335  5 Au 2.71-3.02, 1 Zn 2.76, 1 Mg 3.02
Mg 0.7157 0.7157 0.8686  4 Au 2.81-2.92, 1 Mg 3.02
Mg 0.8367 0.8367 0.3997  4 Au 2.67-2.86
Zn 0.5000 0.5000 0.0000  2 Mg 2.45
Au 0.0692 0.0692 0.7787  7 Mg 2.67-2.92
Au 0.2059 0.2059 0.3442  8 Mg 2.71-3.02
Au 0.7941 0.7941 0.6558  8 Mg 2.71-3.02
Au 0.9308 0.9308 0.2213  7 Mg 2.67-2.92

Values from the calculation:
**Energy of formation**: -0.33 eV/atom
**Crystal system**: monoclinic
**DOS(E_F)**: 5.72 states/eV per cell
**Total moment**: 0.0 μB per cell
**Symmetry**: No. 12
**Density**: 6.81 g cm⁻³



# 10
Below is a relaxed structure of MgZn4Au5, with properties calculated at the PBE level.

Lattice parameters (Å, degrees): 3.2564 3.2564 15.6126 90.00 90.00 90.00
Closest atoms and distances in Å follow each position.
Element x y z (fractional)
Mg 0.0000 0.0000 0.0000  8 Au 2.84
Zn 0.0000 0.0000 0.2038  8 Au 2.76-2.77, 1 Zn 3.08
Zn 0.0000 0.0000 0.4013  8 Au 2.77, 2 Zn 3.08
Zn 0.0000 0.0000 0.5987  8 Au 2.77, 2 Zn 3.08
Zn 0.0000 0.0000 0.7962  8 Au 2.76-2.77, 1 Zn 3.08
Au 0.5000 0.5000 0.1062  4 Zn 2.76, 4 Mg 2.84, 1 Au 3.07
Au 0.5000 0.5000 0.3029  8 Zn 2.77, 2 Au 3.07-3.08
Au 0.5000 0.5000 0.5000  8 Zn 2.77, 2 Au 3.08
Au 0.5000 0.5000 0.6971  8 Zn 2.77, 2 Au 3.07-3.08
Au 0.5000 0.5000 0.8938  4 Zn 2.76, 4 Mg 2.84, 1 Au 3.07

Values from the calculation:
**Energy of formation**: -0.29 eV/atom
**Crystal system**: tetragonal
**DOS(E_F)**: 2.96 states/eV per cell
**Total moment**: 0.0 μB per cell
**Symmetry**: No. 123
**Density**: 12.75 g cm⁻³